VASP calculation (PBE-GGA) on crystalline RbBaNa2Ag at its relaxed geometry.

Results
Calculated volume ... 244.8 Å³ per cell
Energy relative to the elements ... 0.049 eV per atom

a b c (Å): 6.1878 6.1878 6.3926
angles (deg): 90.00 90.00 90.00
With the nearest neighbours (Å) after each atom.
Space group P4/mmm (No. 123)
Unique sites:
1 Rb 0.0000 0.0000 0.0000 (multiplicity 1)  4 Ba 4.38, 8 Na 4.45
2 Ba 0.5000 0.5000 0.0000 (multiplicity 1)  2 Ag 3.20
3 Na 0.0000 0.5000 0.5000 (multiplicity 2)  2 Ag 3.09
4 Ag 0.5000 0.5000 0.5000 (multiplicity 1)  4 Na 3.09, 2 Ba 3.20